Entry 1:
Computed, not measured: crystalline TlCuPt at its relaxed geometry at the GGA-PBE level of DFT.

```
TlCuPt
1.0
-1.498 1.888 4.632
1.498 -1.888 4.632
1.498 1.888 -4.632
Tl Cu Pt
1 1 1
Cartesian
0.000 0.000 0.000 Tl
0.000 0.000 2.917 Cu
0.000 0.000 6.373 Pt
```

Calculated values
E_form = 0.29 eV per formula unit
SG = Imm2, No. 44
polymorph energy (0 for the lowest one) = 0 meV/atom
crystal system = orthorhombic

Entry 2:
Computed, not measured: crystalline Sc2SnIrC at its relaxed geometry at the GGA-PBE level of DFT.

```
Sc2SnIrC
1.0
4.574 0.000 0.000
0.000 4.574 0.000
0.000 0.000 4.049
Sc Sn Ir C
2 1 1 1
Cartesian
0.000 2.287 0.000 Sc
2.287 0.000 0.000 Sc
0.000 0.000 2.025 Sn
2.287 2.287 2.025 Ir
2.287 2.287 0.000 C
```

Calculated values
E_form = -2.73 eV per formula unit
SG = P4/mmm, No. 123
crystal system = tetragonal

Entry 3:
Computed, not measured: crystalline SmB2Ru3 at its relaxed geometry at the GGA-PBE level of DFT.

```
SmB2Ru3
1.0
5.558 0.000 0.000
-2.779 4.813 0.000
0.000 0.000 3.032
Sm B Ru
1 2 3
Cartesian
0.000 0.000 0.000 Sm
0.000 3.209 0.000 B
2.779 1.604 0.000 B
-1.389 2.407 1.516 Ru
2.779 0.000 1.516 Ru
1.389 2.407 1.516 Ru
```

Calculated values
E_form = -2.59 eV per formula unit
SG = P6/mmm, No. 191
polymorph energy (0 for the lowest one) = 0 meV/atom
crystal system = hexagonal

Entry 4:
Computed, not measured: crystalline Pm2Sm2Er2In at its relaxed geometry at the GGA-PBE level of DFT.

```
Pm2Sm2Er2In
1.0
6.114 -1.843 0.000
6.114 1.843 0.000
-5.287 0.000 10.159
Pm Sm Er In
2 2 2 1
Cartesian
-1.046 0.000 2.469 Pm
7.986 0.000 7.690 Pm
-0.881 0.000 5.999 Sm
7.822 0.000 4.160 Sm
2.289 0.000 1.208 Er
4.652 0.000 8.950 Er
6.114 0.000 0.000 In
```

Calculated values
E_form = -0.20 eV per formula unit
SG = C2/m, No. 12
crystal system = monoclinic

Entry 5:
Computed, not measured: crystalline Sm7Al3 at its relaxed geometry at the GGA-PBE level of DFT.

```
Sm7Al3
1.0
10.575 0.000 0.000
-5.287 9.158 0.000
0.000 0.000 6.208
Sm Al
14 6
Cartesian
-2.168 4.854 0.000 Sm
0.000 2.228 4.803 Sm
-3.358 8.044 4.803 Sm
1.930 1.114 1.699 Sm
0.000 6.105 3.524 Sm
2.168 4.854 0.000 Sm
0.000 8.609 0.000 Sm
5.287 0.549 3.104 Sm
3.119 4.304 3.104 Sm
5.287 3.053 0.420 Sm
3.358 8.044 4.803 Sm
8.645 1.114 1.699 Sm
5.287 6.930 1.699 Sm
7.456 4.304 3.104 Sm
0.000 3.544 1.879 Al
-2.218 7.386 1.879 Al
3.069 1.772 4.983 Al
2.218 7.386 1.879 Al
7.506 1.772 4.983 Al
5.287 5.614 4.983 Al
```

Calculated values
E_form = -1.41 eV per formula unit
SG = P6_3mc, No. 186
crystal system = hexagonal

Entry 6:
Computed, not measured: crystalline CaTb2Ag3 at its relaxed geometry at the GGA-PBE level of DFT.

```
CaTb2Ag3
1.0
5.170 0.000 0.000
-2.585 4.477 0.000
0.000 0.000 12.712
Ca Tb Ag
2 4 6
Cartesian
0.000 2.985 2.123 Ca
2.585 1.492 10.589 Ca
0.000 0.000 0.000 Tb
0.000 0.000 6.356 Tb
0.000 2.985 8.477 Tb
2.585 1.492 4.236 Tb
0.000 0.000 3.215 Ag
0.000 0.000 9.497 Ag
0.000 2.985 5.375 Ag
0.000 2.985 11.664 Ag
2.585 1.492 1.048 Ag
2.585 1.492 7.337 Ag
```

Calculated values
E_form = -1.84 eV per formula unit
SG = P-3m1, No. 164
polymorph energy (0 for the lowest one) = 11 meV/atom
crystal system = trigonal

Entry 7:
Computed, not measured: crystalline CaLa2Tl at its relaxed geometry at the GGA-PBE level of DFT.

```
CaLa2Tl
1.0
3.918 0.000 0.000
0.000 4.722 0.000
0.000 0.000 7.385
Ca La Tl
1 2 1
Cartesian
0.000 0.000 0.000 Ca
1.959 2.361 2.063 La
1.959 2.361 5.322 La
0.000 0.000 3.692 Tl
```

Calculated values
E_form = -0.71 eV per formula unit
SG = Pmmm, No. 47
polymorph energy (0 for the lowest one) = 22 meV/atom
crystal system = orthorhombic

Entry 8:
Computed, not measured: crystalline CdMoAs2 at its relaxed geometry at the GGA-PBE level of DFT.

```
CdMoAs2
1.0
-3.018 3.018 5.791
3.018 -3.018 5.791
3.018 3.018 -5.791
Cd Mo As
2 2 4
Cartesian
0.000 0.000 0.000 Cd
0.000 3.018 2.895 Cd
3.018 0.000 2.895 Mo
0.000 0.000 5.791 Mo
1.509 -1.271 4.343 As
1.747 1.509 1.448 As
1.509 4.289 -1.448 As
1.271 1.509 7.238 As
```

Calculated values
E_form = 1.08 eV per formula unit
SG = I-42d, No. 122
crystal system = tetragonal